# PBE TaSbTe, relaxed
# ΔE to the lowest computed polymorph: 58.08 kJ per mole of atoms
data_TaSbTe
_chemical_formula_sum 'Ta4 Sb4 Te4'
_cell_length_a 6.8283
_cell_length_b 6.8283
_cell_length_c 6.8283
_cell_angle_alpha 90.00
_cell_angle_beta 90.00
_cell_angle_gamma 90.00
_symmetry_space_group_name_H-M 'F -4 3 m'
_symmetry_Int_Tables_number 216
_symmetry_space_group_name_Hall 'F -4 2 3'
loop_
_atom_site_label
_atom_site_type_symbol
_atom_site_fract_x
_atom_site_fract_y
_atom_site_fract_z
_atom_site_occupancy
Ta1 Ta 0.0000 0.0000 0.0000 1
Sb1 Sb 0.0000 0.0000 0.5000 1
Te1 Te 0.2500 0.2500 0.7500 1



# PBE TaSbTe, relaxed
# ΔE to the lowest computed polymorph: 0.00 kJ per mole of atoms
data_TaSbTe
_chemical_formula_sum 'Ta4 Sb4 Te4'
_cell_length_a 6.8287
_cell_length_b 6.8287
_cell_length_c 6.8287
_cell_angle_alpha 90.00
_cell_angle_beta 90.00
_cell_angle_gamma 90.00
_symmetry_space_group_name_H-M 'F -4 3 m'
_symmetry_Int_Tables_number 216
_symmetry_space_group_name_Hall 'F -4 2 3'
loop_
_atom_site_label
_atom_site_type_symbol
_atom_site_fract_x
_atom_site_fract_y
_atom_site_fract_z
_atom_site_occupancy
Ta1 Ta 0.0000 0.0000 0.0000 1
Sb1 Sb 0.2500 0.2500 0.7500 1
Te1 Te 0.2500 0.2500 0.2500 1



# PBE TmTaSb, relaxed
# raw total energy: -71.84 eV per cell
data_TmTaSb
_chemical_formula_sum 'Tm4 Ta4 Sb4'
_cell_length_a 6.9718
_cell_length_b 6.9718
_cell_length_c 6.9718
_cell_angle_alpha 90.00
_cell_angle_beta 90.00
_cell_angle_gamma 90.00
_symmetry_space_group_name_H-M 'F -4 3 m'
_symmetry_Int_Tables_number 216
_symmetry_space_group_name_Hall 'F -4 2 3'
loop_
_atom_site_label
_atom_site_type_symbol
_atom_site_fract_x
_atom_site_fract_y
_atom_site_fract_z
_atom_site_occupancy
Tm1 Tm 0.0000 0.0000 0.0000 1
Ta1 Ta 0.2500 0.2500 0.2500 1
Sb1 Sb 0.2500 0.2500 0.7500 1



# PBE Ta2SbW, relaxed
# raw total energy: -157.73 eV per cell
data_Ta2SbW
_chemical_formula_sum 'Ta8 Sb4 W4'
_cell_length_a 6.6221
_cell_length_b 6.6221
_cell_length_c 6.6221
_cell_angle_alpha 90.00
_cell_angle_beta 90.00
_cell_angle_gamma 90.00
_symmetry_space_group_name_H-M 'F -4 3 m'
_symmetry_Int_Tables_number 216
_symmetry_space_group_name_Hall 'F -4 2 3'
loop_
_atom_site_label
_atom_site_type_symbol
_atom_site_fract_x
_atom_site_fract_y
_atom_site_fract_z
_atom_site_occupancy
Ta1 Ta 0.0000 0.0000 0.0000 1
Ta2 Ta 0.2500 0.2500 0.2500 1
Sb1 Sb 0.0000 0.0000 0.5000 1
W1 W 0.2500 0.2500 0.7500 1



# PBE YTaSb, relaxed
# raw total energy: -87.40 eV per cell
data_YTaSb
_chemical_formula_sum 'Y4 Ta4 Sb4'
_cell_length_a 6.7708
_cell_length_b 6.7708
_cell_length_c 6.7708
_cell_angle_alpha 90.00
_cell_angle_beta 90.00
_cell_angle_gamma 90.00
_symmetry_space_group_name_H-M 'F -4 3 m'
_symmetry_Int_Tables_number 216
_symmetry_space_group_name_Hall 'F -4 2 3'
loop_
_atom_site_label
_atom_site_type_symbol
_atom_site_fract_x
_atom_site_fract_y
_atom_site_fract_z
_atom_site_occupancy
Y1 Y 0.0000 0.0000 0.0000 1
Ta1 Ta 0.0000 0.0000 0.5000 1
Sb1 Sb 0.2500 0.2500 0.7500 1



# PBE YTaSb, relaxed
# raw total energy: -79.58 eV per cell
data_YTaSb
_chemical_formula_sum 'Y4 Ta4 Sb4'
_cell_length_a 7.0517
_cell_length_b 7.0517
_cell_length_c 7.0517
_cell_angle_alpha 90.00
_cell_angle_beta 90.00
_cell_angle_gamma 90.00
_symmetry_space_group_name_H-M 'F -4 3 m'
_symmetry_Int_Tables_number 216
_symmetry_space_group_name_Hall 'F -4 2 3'
loop_
_atom_site_label
_atom_site_type_symbol
_atom_site_fract_x
_atom_site_fract_y
_atom_site_fract_z
_atom_site_occupancy
Y1 Y 0.0000 0.0000 0.0000 1
Ta1 Ta 0.2500 0.2500 0.2500 1
Sb1 Sb 0.2500 0.2500 0.7500 1



# PBE TaZnSb2, relaxed
# raw total energy: -75.30 eV per cell
data_TaZnSb2
_chemical_formula_sum 'Ta4 Zn4 Sb8'
_cell_length_a 6.9997
_cell_length_b 6.9997
_cell_length_c 6.9997
_cell_angle_alpha 90.00
_cell_angle_beta 90.00
_cell_angle_gamma 90.00
_symmetry_space_group_name_H-M 'F -4 3 m'
_symmetry_Int_Tables_number 216
_symmetry_space_group_name_Hall 'F -4 2 3'
loop_
_atom_site_label
_atom_site_type_symbol
_atom_site_fract_x
_atom_site_fract_y
_atom_site_fract_z
_atom_site_occupancy
Ta1 Ta 0.0000 0.0000 0.0000 1
Zn1 Zn 0.2500 0.2500 0.2500 1
Sb1 Sb 0.0000 0.0000 0.5000 1
Sb2 Sb 0.2500 0.2500 0.7500 1



# PBE Ta2ZnSb, relaxed
# raw total energy: -109.29 eV per cell
data_Ta2ZnSb
_chemical_formula_sum 'Ta8 Zn4 Sb4'
_cell_length_a 6.6692
_cell_length_b 6.6692
_cell_length_c 6.6692
_cell_angle_alpha 90.00
_cell_angle_beta 90.00
_cell_angle_gamma 90.00
_symmetry_space_group_name_H-M 'F -4 3 m'
_symmetry_Int_Tables_number 216
_symmetry_space_group_name_Hall 'F -4 2 3'
loop_
_atom_site_label
_atom_site_type_symbol
_atom_site_fract_x
_atom_site_fract_y
_atom_site_fract_z
_atom_site_occupancy
Ta1 Ta 0.0000 0.0000 0.0000 1
Ta2 Ta 0.2500 0.2500 0.2500 1
Zn1 Zn 0.2500 0.2500 0.7500 1
Sb1 Sb 0.0000 0.0000 0.5000 1